Material: KBa2Co
Method: DFT, PBE
State: optimized geometry

Results
energy of formation = 0.33 eV/atom
space group = C2/m
M_tot = 0.436 μB per cell

Lattice parameters (Å, degrees): 4.4764 4.4764 11.6991 79.57 79.57 59.96
Each line ends with the local moment (μB).
Sites, in units of the cell vectors:
Ba1 0.0364 0.0364 0.8994  -0.08
Ba2 0.4636 0.4636 0.6006  -0.08
Co1 0.7500 0.7500 0.7500  0.96
K1 0.2500 0.2500 0.2500  0.00